1.
Computed, not measured: an optimized crystal structure of NdScGe at the PBE-GGA level of DFT.

## Properties
As for the electronic total energy: -17.31 eV for the cell shown. As for the magnetic moment: 0.0 μB per cell. The value obtained for the density of states at the Fermi level is 1.04 states/eV per cell. The polymorph energy (0 for the lowest one) comes out at 189 meV/atom.

Unit cell a=4.619 b=4.619 c=4.155 alpha=90.00 beta=90.00 gamma=120.00
Sites, in units of the cell vectors:
Nd 0.000 0.000 0.000
Sc 0.667 0.333 0.499
Ge 0.333 0.667 0.503

2.
Computed, not measured: an optimized crystal structure of NdScGe at the PBE-GGA level of DFT.

## Properties
As for the electronic total energy: -102.28 eV for the cell shown. As for the magnetic moment: 0.0 μB per cell. The value obtained for the density of states at the Fermi level is 16.28 states/eV per cell. The polymorph energy (0 for the lowest one) comes out at 277 meV/atom.

Unit cell a=12.554 b=6.876 c=5.722 alpha=90.00 beta=90.00 gamma=90.00
Sites, in units of the cell vectors:
Nd 0.000 0.106 0.000
Nd 0.167 0.462 0.730
Nd 0.333 0.538 0.230
Nd 0.500 0.894 0.500
Nd 0.667 0.538 0.230
Nd 0.833 0.462 0.730
Sc 0.000 0.594 0.235
Sc 0.165 0.944 0.506
Sc 0.335 0.056 0.006
Sc 0.500 0.406 0.735
Sc 0.665 0.056 0.006
Sc 0.835 0.944 0.506
Ge 0.000 0.225 0.498
Ge 0.166 0.813 0.044
Ge 0.334 0.187 0.544
Ge 0.500 0.775 0.998
Ge 0.666 0.187 0.544
Ge 0.834 0.813 0.044

3.
Computed, not measured: an optimized crystal structure of NdSc3Ge2 at the PBE-GGA level of DFT.

## Properties
As for the electronic total energy: -73.12 eV for the cell shown. As for the magnetic moment: 1.9 μB per cell. The value obtained for the density of states at the Fermi level is 13.49 states/eV per cell.

Unit cell a=8.578 b=8.578 c=8.526 alpha=112.09 beta=112.09 gamma=28.74
Sites, in units of the cell vectors:
Nd 0.117 0.117 0.147
Nd 0.883 0.883 0.853
Sc 0.057 0.057 0.694
Sc 0.309 0.309 0.110
Sc 0.354 0.354 0.513
Sc 0.646 0.646 0.487
Sc 0.691 0.691 0.890
Sc 0.943 0.943 0.306
Ge 0.234 0.234 0.709
Ge 0.485 0.485 0.147
Ge 0.515 0.515 0.853
Ge 0.766 0.766 0.291

4.
Computed, not measured: an optimized crystal structure of Nd3Sc2Ge3 at the PBE-GGA level of DFT.

## Properties
As for the electronic total energy: -93.35 eV for the cell shown. As for the magnetic moment: 0.0 μB per cell. The value obtained for the density of states at the Fermi level is 18.01 states/eV per cell.

Unit cell a=8.588 b=8.588 c=6.235 alpha=90.00 beta=90.00 gamma=120.00
Sites, in units of the cell vectors:
Nd 0.000 0.251 0.250
Nd 0.000 0.749 0.750
Nd 0.251 0.000 0.250
Nd 0.251 0.251 0.750
Nd 0.749 0.000 0.750
Nd 0.749 0.749 0.250
Sc 0.333 0.667 0.000
Sc 0.333 0.667 0.500
Sc 0.667 0.333 0.000
Sc 0.667 0.333 0.500
Ge 0.000 0.398 0.750
Ge 0.000 0.602 0.250
Ge 0.398 0.000 0.750
Ge 0.398 0.398 0.250
Ge 0.602 0.000 0.250
Ge 0.602 0.602 0.750

5.
Computed, not measured: an optimized crystal structure of Nd3ScGe2 at the PBE-GGA level of DFT.

## Properties
As for the electronic total energy: -67.28 eV for the cell shown. As for the magnetic moment: 0.8 μB per cell. The value obtained for the density of states at the Fermi level is 12.52 states/eV per cell.

Unit cell a=4.321 b=4.548 c=16.330 alpha=90.00 beta=90.00 gamma=90.00
Sites, in units of the cell vectors:
Nd 0.000 0.000 0.000
Nd 0.000 0.500 0.320
Nd 0.000 0.500 0.680
Nd 0.500 0.000 0.180
Nd 0.500 0.000 0.820
Nd 0.500 0.500 0.500
Sc 0.000 0.000 0.500
Sc 0.500 0.500 0.000
Ge 0.000 0.500 0.130
Ge 0.000 0.500 0.870
Ge 0.500 0.000 0.370
Ge 0.500 0.000 0.630

6.
Computed, not measured: an optimized crystal structure of NdScGe at the PBE-GGA level of DFT.

## Properties
As for the electronic total energy: -71.51 eV for the cell shown. As for the magnetic moment: 3.2 μB per cell. The value obtained for the density of states at the Fermi level is 10.22 states/eV per cell. The polymorph energy (0 for the lowest one) comes out at 0 meV/atom.

Unit cell a=4.321 b=4.321 c=16.007 alpha=90.00 beta=90.00 gamma=90.00
Sites, in units of the cell vectors:
Nd 0.000 0.000 0.177
Nd 0.000 0.000 0.823
Nd 0.500 0.500 0.323
Nd 0.500 0.500 0.677
Sc 0.000 0.500 0.000
Sc 0.000 0.500 0.500
Sc 0.500 0.000 0.000
Sc 0.500 0.000 0.500
Ge 0.000 0.000 0.377
Ge 0.000 0.000 0.623
Ge 0.500 0.500 0.123
Ge 0.500 0.500 0.877